No. 1
Material: Ba3LaY2Cu6O14
Method: DFT, meta-GGA SCAN
State: PBEsol geometry

```
26
Lattice="-3.769 -1.843 -3.407 0.513 -4.874 2.279 -6.523 6.039 8.129" Properties=species:S:1:pos:R:3 pbc="T T T"
Ba -6.674 2.195 6.195
Ba -8.265 -1.176 5.596
Ba -1.503 0.494 1.395
La -3.128 -2.865 0.828
Y -5.683 -2.025 3.200
Y -4.090 1.345 3.796
Cu -1.917 -0.911 -1.673
Cu 0.224 -2.426 1.170
Cu -7.112 0.798 3.148
Cu -4.971 -0.718 5.991
Cu -4.780 0.031 0.985
Cu -2.640 -1.484 3.828
O -8.750 1.337 4.669
O -6.610 -0.179 7.512
O -3.240 -0.476 -0.446
O -1.099 -1.991 2.397
O -6.059 2.390 3.262
O -3.965 0.907 6.043
O -4.241 3.389 4.999
O -5.909 -0.051 4.422
O -3.613 -3.070 3.446
O -5.534 -1.710 0.894
O -5.532 -4.121 1.969
O -3.821 -0.591 2.562
O -1.068 -1.863 -0.189
O -2.473 -4.760 -0.675
```

Calculated values
Raw formation energy   -2172 meV/atom
Space group   Fmm2 (42)
Spin magnetization   0.00 μB per formula unit

=====

No. 2
Material: BaLaCuSe3
Method: DFT, meta-GGA SCAN
State: PBEsol geometry

```
24
Lattice="-3.736 -1.860 0.732 2.568 -8.019 -7.273 5.647 -7.364 10.113" Properties=species:S:1:pos:R:3 pbc="T T T"
Ba -0.182 -2.765 -1.823
Ba 4.661 -14.478 5.394
Ba 3.872 -10.386 -0.500
Ba 0.607 -6.857 4.070
La 3.425 -6.213 7.827
La 1.054 -11.030 -4.256
La 4.532 -9.991 3.872
La -0.052 -7.252 -0.302
Cu 1.263 -4.437 1.301
Cu 3.217 -12.806 2.269
Cu 2.195 -7.987 -2.965
Cu 2.285 -9.255 6.536
Se 1.340 -3.676 3.629
Se 3.140 -13.567 -0.058
Se 1.171 -5.791 -2.610
Se 3.309 -11.452 6.181
Se 3.576 -7.546 5.209
Se 0.904 -9.697 -1.638
Se 5.631 -12.560 2.952
Se -1.151 -4.683 0.619
Se 2.351 -6.627 1.290
Se 2.128 -10.616 2.281
Se 1.955 -8.445 -5.356
Se 2.525 -8.798 8.927
```

Calculated values
Raw formation energy   -1823 meV/atom
Space group   Pnma (62)
Spin magnetization   0.00 μB per formula unit

=====

No. 3
Material: BaLaCuTe3
Method: DFT, meta-GGA SCAN
State: PBEsol geometry

```
24
Lattice="4.471 0.000 0.000 0.000 11.810 0.000 0.000 0.000 14.640" Properties=species:S:1:pos:R:3 pbc="T T T"
Ba 3.353 2.648 7.367
Ba 1.118 9.163 7.274
Ba 3.353 8.553 14.594
Ba 1.118 3.258 0.047
La 3.353 5.709 3.798
La 1.118 6.101 10.842
La 3.353 11.614 3.522
La 1.118 0.196 11.119
Cu 1.118 2.825 4.137
Cu 3.353 3.080 11.457
Cu 1.118 8.730 3.183
Cu 3.353 8.985 10.503
Te 3.353 2.814 2.643
Te 1.118 8.996 11.997
Te 3.353 8.719 4.677
Te 1.118 3.091 9.963
Te 3.353 1.083 13.161
Te 1.118 4.822 5.841
Te 3.353 6.988 8.799
Te 1.118 10.727 1.479
Te 1.118 0.644 5.632
Te 3.353 11.166 9.008
Te 1.118 6.550 1.688
Te 3.353 5.261 12.952
```

Calculated values
Raw formation energy   -1449 meV/atom
Space group   Pnma (62)
Spin magnetization   0.00 μB per formula unit

=====

No. 4
Material: BaLi2Cu
Method: DFT, meta-GGA SCAN
State: PBEsol geometry

```
4
Lattice="4.340 -0.001 0.000 -0.111 4.338 0.000 -2.115 -2.169 5.646" Properties=species:S:1:pos:R:3 pbc="T T T"
Ba 2.115 2.169 0.000
Cu 0.000 0.000 0.000
Li 1.113 -1.085 2.823
Li -1.113 1.085 2.823
```

Calculated values
Excess energy over the best structure of this formula in the dataset   220 meV per atom
Space group   Fmmm (69)
Spin magnetization   0.00 μB per formula unit
Energy relative to the elements   0.259 eV/atom

=====

No. 5
Material: Ba2Li2Cu
Method: DFT, meta-GGA SCAN
State: PBEsol geometry

```
5
Lattice="3.969 0.000 0.000 0.000 3.969 0.000 -1.984 -1.984 9.941" Properties=species:S:1:pos:R:3 pbc="T T T"
Ba 0.000 0.000 8.111
Ba 1.984 1.984 1.830
Cu 0.000 0.000 0.000
Li 0.000 1.984 4.971
Li 1.984 0.000 4.971
```

Calculated values
Space group   I4/mmm (139)
Spin magnetization   0.08 μB per formula unit
Energy relative to the elements   0.081 eV/atom

=====

No. 6
Material: BaLiCu2
Method: DFT, meta-GGA SCAN
State: PBEsol geometry

```
4
Lattice="-3.768 -1.351 1.564 3.445 -2.565 0.181 0.267 4.243 4.306" Properties=species:S:1:pos:R:3 pbc="T T T"
Ba 1.014 1.616 3.838
Cu 0.235 0.370 0.885
Cu -1.085 -1.309 2.160
Li 1.474 -1.469 2.284
```

Calculated values
Excess energy over the best structure of this formula in the dataset   29 meV per atom
Space group   Cm (8)
Spin magnetization   0.13 μB per formula unit
Energy relative to the elements   0.032 eV/atom